Here is an optimized crystal structure of Ca12Cd3H5 from the Alexandria database. Energies are from PBE-GGA.

a = 14.0544 Å, b = 14.0544 Å, c = 14.0544 Å
α = 109.47°, β = 109.47°, γ = 109.47°
Positions (direct):
1 Ca 0.0151 0.2064 0.1146
2 Ca 0.0151 0.3087 0.9005
3 Ca 0.0918 0.7064 0.6913
4 Ca 0.0918 0.8854 0.4005
5 Ca 0.0995 0.6146 0.4082
6 Ca 0.0995 0.9849 0.6913
7 Ca 0.1146 0.0151 0.2064
8 Ca 0.1146 0.5995 0.9082
9 Ca 0.1913 0.2064 0.5918
10 Ca 0.1913 0.4849 0.5995
11 Ca 0.2064 0.1146 0.0151
12 Ca 0.2064 0.5918 0.1913
13 Ca 0.2936 0.3087 0.9082
14 Ca 0.2936 0.4849 0.3854
15 Ca 0.3087 0.9005 0.0151
16 Ca 0.3087 0.9082 0.2936
17 Ca 0.3854 0.2936 0.4849
18 Ca 0.3854 0.5918 0.9005
19 Ca 0.4005 0.0918 0.8854
20 Ca 0.4005 0.8087 0.5151
21 Ca 0.4082 0.0995 0.6146
22 Ca 0.4082 0.8087 0.7936
23 Ca 0.4849 0.3854 0.2936
24 Ca 0.4849 0.5995 0.1913
25 Ca 0.5151 0.4005 0.8087
26 Ca 0.5151 0.6146 0.7064
27 Ca 0.5918 0.1913 0.2064
28 Ca 0.5918 0.9005 0.3854
29 Ca 0.5995 0.1913 0.4849
30 Ca 0.5995 0.9082 0.1146
31 Ca 0.6146 0.4082 0.0995
32 Ca 0.6146 0.7064 0.5151
33 Ca 0.6913 0.0918 0.7064
34 Ca 0.6913 0.0995 0.9849
35 Ca 0.7064 0.5151 0.6146
36 Ca 0.7064 0.6913 0.0918
37 Ca 0.7936 0.4082 0.8087
38 Ca 0.7936 0.8854 0.9849
39 Ca 0.8087 0.5151 0.4005
40 Ca 0.8087 0.7936 0.4082
41 Ca 0.8854 0.4005 0.0918
42 Ca 0.8854 0.9849 0.7936
43 Ca 0.9005 0.0151 0.3087
44 Ca 0.9005 0.3854 0.5918
45 Ca 0.9082 0.1146 0.5995
46 Ca 0.9082 0.2936 0.3087
47 Ca 0.9849 0.6913 0.0995
48 Ca 0.9849 0.7936 0.8854
49 Cd 0.1250 0.2500 0.3750
50 Cd 0.1250 0.3750 0.7500
51 Cd 0.2500 0.3750 0.1250
52 Cd 0.2500 0.8750 0.6250
53 Cd 0.3750 0.1250 0.2500
54 Cd 0.3750 0.7500 0.1250
55 Cd 0.6250 0.2500 0.8750
56 Cd 0.6250 0.8750 0.7500
57 Cd 0.7500 0.1250 0.3750
58 Cd 0.7500 0.6250 0.8750
59 Cd 0.8750 0.6250 0.2500
60 Cd 0.8750 0.7500 0.6250
61 H 0.0000 0.0000 0.0000
62 H 0.0000 0.0000 0.5000
63 H 0.0000 0.5000 0.0000
64 H 0.0000 0.5000 0.5000
65 H 0.1250 0.7500 0.8750
66 H 0.1250 0.8750 0.2500
67 H 0.2500 0.1250 0.8750
68 H 0.2500 0.6250 0.3750
69 H 0.3750 0.2500 0.6250
70 H 0.3750 0.6250 0.7500
71 H 0.5000 0.0000 0.0000
72 H 0.5000 0.0000 0.5000
73 H 0.5000 0.5000 0.0000
74 H 0.5000 0.5000 0.5000
75 H 0.6250 0.3750 0.2500
76 H 0.6250 0.7500 0.3750
77 H 0.7500 0.3750 0.6250
78 H 0.7500 0.8750 0.1250
79 H 0.8750 0.1250 0.7500
80 H 0.8750 0.2500 0.1250

Calculated values
SG: Ia-3d (230)
Final energy, Ha/atom: -0.0898
Total moment, μB per formula unit: 0.0



Here is an optimized crystal structure of CaCdH3 from the Alexandria database. Energies are from PBE-GGA.

a = 4.0328 Å, b = 4.0328 Å, c = 4.0328 Å
α = 90.00°, β = 90.00°, γ = 90.00°
Positions (direct):
1 Ca 0.0000 0.0000 0.0000
2 Cd 0.5000 0.5000 0.5000
3 H 0.0000 0.5000 0.5000
4 H 0.5000 0.0000 0.5000
5 H 0.5000 0.5000 0.0000

Calculated values
SG: Pm-3m (221)
Total moment, μB per formula unit: 0.0
Distance to the lowest polymorph of the same formula, meV per atom: 0



Here is an optimized crystal structure of Ca3CdH from the Alexandria database. Energies are from PBE-GGA.

a = 5.0379 Å, b = 5.0379 Å, c = 5.0379 Å
α = 90.00°, β = 90.00°, γ = 90.00°
Positions (direct):
1 Ca 0.0000 0.0000 0.5000
2 Ca 0.0000 0.5000 0.0000
3 Ca 0.5000 0.0000 0.0000
4 Cd 0.5000 0.5000 0.5000
5 H 0.0000 0.0000 0.0000

Calculated values
SG: Pm-3m (221)
Total moment, μB per formula unit: 0.0
Distance to the lowest polymorph of the same formula, meV per atom: 33



Here is an optimized crystal structure of Ca8Cd2H from the Alexandria database. Energies are from PBE-GGA.

a = 9.5760 Å, b = 9.5760 Å, c = 10.1218 Å
α = 97.76°, β = 97.76°, γ = 23.30°
Positions (direct):
1 Ca 0.0070 0.0070 0.1844
2 Ca 0.2105 0.2105 0.3393
3 Ca 0.3456 0.3456 0.9801
4 Ca 0.4072 0.4072 0.4550
5 Ca 0.5928 0.5928 0.5450
6 Ca 0.6544 0.6544 0.0199
7 Ca 0.7895 0.7895 0.6607
8 Ca 0.9930 0.9930 0.8156
9 Cd 0.1733 0.1733 0.7743
10 Cd 0.8267 0.8267 0.2257
11 H 0.5000 0.5000 0.0000

Calculated values
SG: C2/m (12)
Final energy, Ha/atom: -0.0765
Total moment, μB per formula unit: 0.0



Here is an optimized crystal structure of Ca2CdHgH from the Alexandria database. Energies are from PBE-GGA.

a = 4.9780 Å, b = 4.9780 Å, c = 4.4670 Å
α = 90.00°, β = 90.00°, γ = 90.00°
Positions (direct):
1 Ca 0.0000 0.5000 0.0000
2 Ca 0.5000 0.0000 0.0000
3 Cd 0.0000 0.0000 0.5000
4 Hg 0.5000 0.5000 0.5000
5 H 0.5000 0.5000 0.0000

Calculated values
SG: P4/mmm (123)
Total moment, μB per formula unit: 0.0
Distance to the lowest polymorph of the same formula, meV per atom: 43



Here is an optimized crystal structure of CaCdHg2H from the Alexandria database. Energies are from PBE-GGA.

a = 4.9771 Å, b = 4.9771 Å, c = 4.3326 Å
α = 90.00°, β = 90.00°, γ = 90.00°
Positions (direct):
1 Ca 0.0000 0.0000 0.0000
2 Cd 0.5000 0.5000 0.0000
3 Hg 0.0000 0.5000 0.5000
4 Hg 0.5000 0.0000 0.5000
5 H 0.0000 0.0000 0.5000

Calculated values
SG: P4/mmm (123)
Final energy, Ha/atom: -0.0562
Total moment, μB per formula unit: 0.0



Number 1: ρ 2559 kg/m³. Number 2: ρ 3937 kg/m³. Number 3: ρ 3034 kg/m³. Number 4: ρ 2495 kg/m³. Number 5: ρ 5913 kg/m³. Number 6: ρ 8582 kg/m³.